No. 1
This record from Alexandria via LeMat-Bulk describes crystalline La5PmTh at its relaxed geometry. The functional is PBE.

Calculated values
Density (g cm⁻³): 5.4
Crystal system: monoclinic
E_form (meV per atom): 854
DOS(E_F) (states/eV/f.u.): 13.915

Cell: 5.9375 8.1860 8.1860 Å, 67.06 68.68 68.68°
Closest atoms and distances in Å follow each position.
Element x y z (fractional)
La1 0.2515 0.7485 0.7485  1 Th 3.05, 1 Pm 3.09
La2 0.0000 0.6820 0.3180  1 Pm 2.88
La3 0.7485 0.2515 0.2515  1 Th 3.05, 1 Pm 3.09
Th1 0.5000 0.5000 0.5000  6 La 3.05-3.39
Pm1 0.0000 0.0000 0.0000  6 La 2.88-3.09
La4 0.5000 0.0000 0.0000  2 Pm 2.97
La5 0.0000 0.3180 0.6820  1 Pm 2.88

***

No. 2
This record from Alexandria via LeMat-Bulk describes crystalline La2Pm4Th at its relaxed geometry. The functional is PBE.

Calculated values
Density (g cm⁻³): 7.3
Crystal system: orthorhombic
E_form (meV per atom): 251
DOS(E_F) (states/eV/f.u.): 10.614
ΔE to the lowest computed polymorph (eV per atom): 0.036

Cell: 6.7662 9.2183 9.2183 Å, 80.30 68.47 68.47°
Closest atoms and distances in Å follow each position.
Element x y z (fractional)
Pm1 0.7831 0.2392 0.7392  1 Pm 3.08, 1 Th 3.23, 1 La 3.24
Pm2 0.2385 0.2392 0.7392  1 Pm 3.08, 1 Th 3.23, 1 La 3.24
Th1 0.5000 0.5000 0.0000  6 Pm 3.23-3.58, 2 Th 3.38
Pm3 0.2169 0.7608 0.2608  1 Pm 3.08, 1 Th 3.23, 1 La 3.24
La1 0.5000 0.0000 0.0000  8 Pm 3.50-3.84
La2 0.7263 0.0237 0.5237  6 Pm 3.24-3.60, 2 La 3.43
Pm4 0.1465 0.3610 0.3459  3 La 3.44-3.84, 2 Th 3.58, 5 Pm 3.63-3.82
Pm5 0.7615 0.7608 0.2608  1 Pm 3.08, 1 Th 3.23, 1 La 3.24
La3 0.2737 0.9763 0.4763  6 Pm 3.24-3.60, 2 La 3.43
La4 0.5000 0.5000 0.5000  8 Pm 3.50-3.84
Pm6 0.1465 0.8459 0.8610  3 La 3.44-3.84, 2 Th 3.58, 5 Pm 3.63-3.82
Th2 0.0000 0.5000 0.0000  6 Pm 3.23-3.58, 2 Th 3.38
Pm7 0.8535 0.6390 0.6541  3 La 3.44-3.84, 2 Th 3.58, 5 Pm 3.63-3.82
Pm8 0.8535 0.1541 0.1390  3 La 3.44-3.84, 2 Th 3.58, 5 Pm 3.63-3.82

***

No. 3
This record from Alexandria via LeMat-Bulk describes crystalline LaPm12Th5 at its relaxed geometry. The functional is PBE.

Calculated values
Density (g cm⁻³): 8.3
Crystal system: monoclinic
E_form (meV per atom): 62
DOS(E_F) (states/eV/f.u.): 29.038

Cell: 10.8665 10.9303 6.3008 Å, 72.68 90.00 60.19°
Closest atoms and distances in Å follow each position.
Element x y z (fractional)
La1 0.0000 0.0000 0.0000  10 Pm 3.63-3.70, 2 Th 3.68
Pm1 0.1701 0.3330 0.5001  7 Pm 3.55-3.68, 5 Th 3.60-3.66
Pm2 0.5034 0.6670 0.4999  7 Pm 3.55-3.69, 5 Th 3.60-3.66
Pm3 0.8345 0.0002 0.4999  7 Pm 3.59-3.68, 2 La 3.63, 3 Th 3.64-3.66
Pm4 0.1655 0.9998 0.5001  7 Pm 3.59-3.68, 2 La 3.63, 3 Th 3.64-3.66
Th1 0.5000 0.0000 0.5000  10 Pm 3.59-3.64, 2 Th 3.61
Pm5 0.6667 0.3378 0.9985  7 Pm 3.57-3.73, 4 Th 3.58-3.67, 1 La 3.67
Pm6 0.3333 0.6622 0.0015  7 Pm 3.57-3.73, 4 Th 3.58-3.67, 1 La 3.67
Th2 0.3340 0.3321 0.9997  2 Th 3.56-3.61, 10 Pm 3.59-3.65
Pm7 0.0045 0.6622 0.0013  7 Pm 3.57-3.73, 4 Th 3.57-3.67, 1 La 3.67
Pm8 0.4966 0.3330 0.5001  7 Pm 3.55-3.69, 5 Th 3.60-3.66
Pm9 0.9955 0.3378 0.9987  7 Pm 3.57-3.73, 4 Th 3.57-3.67, 1 La 3.67
Th3 0.1692 0.6615 0.5102  1 Th 3.56, 10 Pm 3.57-3.67, 1 La 3.68
Pm10 0.3408 0.0000 0.0000  7 Pm 3.46-3.73, 4 Th 3.59, 1 La 3.70
Pm11 0.8299 0.6670 0.4999  7 Pm 3.55-3.68, 5 Th 3.60-3.66
Th4 0.6660 0.6679 0.0003  2 Th 3.56-3.61, 10 Pm 3.59-3.65
Pm12 0.6592 0.0000 0.0000  7 Pm 3.46-3.73, 4 Th 3.59, 1 La 3.70
Th5 0.8308 0.3385 0.4898  1 Th 3.56, 10 Pm 3.57-3.67, 1 La 3.68